Here is Ca2TiAlMo after structural relaxation from the Alexandria database. Energies are from PBE.

The structure in CIF format:
```
data_Ca2TiAlMo
_space_group_name_H-M_alt 'P 1'
_space_group_IT_number 1
_cell_length_a 5.1332
_cell_length_b 5.1332
_cell_length_c 4.9561
_cell_angle_alpha 90.00
_cell_angle_beta 90.00
_cell_angle_gamma 90.00
loop_
_space_group_symop_operation_xyz
'x,y,z'
loop_
_atom_site_label
_atom_site_type_symbol
_atom_site_fract_x
_atom_site_fract_y
_atom_site_fract_z
Ca1 Ca 0.0000 0.5000 0.0000
Ca2 Ca 0.5000 0.0000 0.0000
Ti1 Ti 0.0000 0.0000 0.0000
Al1 Al 0.0000 0.0000 0.5000
Mo1 Mo 0.5000 0.5000 0.5000
```

Output
The calculation puts the polymorph energy (0 for the lowest one) at 0.531 eV/atom. The value obtained for the volume is 131 Å³/cell. For the electronic total energy, the calculation gives -18.37 eV/cell.

=====

Here is CaZr2AlMo after structural relaxation from the Alexandria database. Energies are from PBE.

The structure in CIF format:
```
data_CaZr2AlMo
_space_group_name_H-M_alt 'P 1'
_space_group_IT_number 1
_cell_length_a 5.0019
_cell_length_b 5.0019
_cell_length_c 5.5551
_cell_angle_alpha 90.00
_cell_angle_beta 90.00
_cell_angle_gamma 90.00
loop_
_space_group_symop_operation_xyz
'x,y,z'
loop_
_atom_site_label
_atom_site_type_symbol
_atom_site_fract_x
_atom_site_fract_y
_atom_site_fract_z
Ca1 Ca 0.0000 0.0000 0.0000
Zr1 Zr 0.0000 0.5000 0.5000
Zr2 Zr 0.5000 0.0000 0.5000
Al1 Al 0.5000 0.5000 0.0000
Mo1 Mo 0.0000 0.0000 0.5000
```

Output
The value obtained for the volume is 139 Å³/cell. For the electronic total energy, the calculation gives -29.73 eV/cell.

=====

Here is Ca4Al2N after structural relaxation from the Alexandria database. Energies are from PBE.

The structure in CIF format:
```
data_Ca4Al2N
_space_group_name_H-M_alt 'P 1'
_space_group_IT_number 1
_cell_length_a 8.6663
_cell_length_b 8.6663
_cell_length_c 8.6663
_cell_angle_alpha 147.45
_cell_angle_beta 147.45
_cell_angle_gamma 46.69
loop_
_space_group_symop_operation_xyz
'x,y,z'
loop_
_atom_site_label
_atom_site_type_symbol
_atom_site_fract_x
_atom_site_fract_y
_atom_site_fract_z
Ca1 Ca 0.0000 0.5000 0.5000
Ca2 Ca 0.1579 0.1579 0.0000
Ca3 Ca 0.5000 0.0000 0.5000
Ca4 Ca 0.8421 0.8421 0.0000
Al1 Al 0.3612 0.3612 0.0000
Al2 Al 0.6388 0.6388 0.0000
N1 N 0.0000 0.0000 0.0000
```

Output
As for the formation energy without anion corrections: -0.23 eV/atom. The value obtained for the volume is 188 Å³/cell. For the electronic total energy, the calculation gives -25.43 eV/cell.

=====

Here is Ca3Al3N5 after structural relaxation from the Alexandria database. Energies are from PBE.

The structure in CIF format:
```
data_Ca3Al3N5
_space_group_name_H-M_alt 'P 1'
_space_group_IT_number 1
_cell_length_a 5.6717
_cell_length_b 6.9542
_cell_length_c 8.3420
_cell_angle_alpha 108.24
_cell_angle_beta 104.50
_cell_angle_gamma 95.84
loop_
_space_group_symop_operation_xyz
'x,y,z'
loop_
_atom_site_label
_atom_site_type_symbol
_atom_site_fract_x
_atom_site_fract_y
_atom_site_fract_z
Ca1 Ca 0.1624 0.1415 0.2013
Ca2 Ca 0.1658 0.3623 0.8834
Ca3 Ca 0.3103 0.9239 0.6061
Ca4 Ca 0.6897 0.0761 0.3939
Ca5 Ca 0.8342 0.6377 0.1166
Ca6 Ca 0.8376 0.8585 0.7987
Al1 Al 0.2066 0.4534 0.5709
Al2 Al 0.3739 0.6233 0.2896
Al3 Al 0.4064 0.8142 0.9694
Al4 Al 0.5936 0.1858 0.0306
Al5 Al 0.6261 0.3767 0.7104
Al6 Al 0.7934 0.5466 0.4291
N1 N 0.1125 0.5643 0.3864
N2 N 0.2455 0.7231 0.1090
N3 N 0.2627 0.0220 0.8973
N4 N 0.3382 0.2094 0.5164
N5 N 0.4650 0.6035 0.7853
N6 N 0.5350 0.3965 0.2147
N7 N 0.6618 0.7906 0.4836
N8 N 0.7373 0.9780 0.1027
N9 N 0.7545 0.2769 0.8910
N10 N 0.8875 0.4357 0.6136
```

Output
As for the formation energy without anion corrections: -1.19 eV/atom. The value obtained for the volume is 297 Å³/cell. For the electronic total energy, the calculation gives -143.93 eV/cell.

=====

Here is CaAl2N after structural relaxation from the Alexandria database. Energies are from PBE.

The structure in CIF format:
```
data_CaAl2N
_space_group_name_H-M_alt 'P 1'
_space_group_IT_number 1
_cell_length_a 6.0799
_cell_length_b 6.0799
_cell_length_c 6.0799
_cell_angle_alpha 118.63
_cell_angle_beta 118.63
_cell_angle_gamma 92.38
loop_
_space_group_symop_operation_xyz
'x,y,z'
loop_
_atom_site_label
_atom_site_type_symbol
_atom_site_fract_x
_atom_site_fract_y
_atom_site_fract_z
Ca1 Ca 0.0000 0.0000 0.0000
Ca2 Ca 0.7500 0.2500 0.5000
Al1 Al 0.2938 0.1250 0.6688
Al2 Al 0.3750 0.7062 0.8312
Al3 Al 0.4562 0.6250 0.3312
Al4 Al 0.8750 0.5438 0.1688
N1 N 0.2500 0.7500 0.5000
N2 N 0.5000 0.5000 0.0000
```

Output
As for the formation energy without anion corrections: -0.14 eV/atom. The value obtained for the volume is 162 Å³/cell. For the electronic total energy, the calculation gives -36.70 eV/cell.

=====

Here is Ca2AlN after structural relaxation from the Alexandria database. Energies are from PBE.

The structure in CIF format:
```
data_Ca2AlN
_space_group_name_H-M_alt 'P 1'
_space_group_IT_number 1
_cell_length_a 6.3096
_cell_length_b 6.3096
_cell_length_c 6.3096
_cell_angle_alpha 110.30
_cell_angle_beta 110.30
_cell_angle_gamma 107.82
loop_
_space_group_symop_operation_xyz
'x,y,z'
loop_
_atom_site_label
_atom_site_type_symbol
_atom_site_fract_x
_atom_site_fract_y
_atom_site_fract_z
Ca1 Ca 0.0217 0.6250 0.8967
Ca2 Ca 0.3750 0.2717 0.3967
Ca3 Ca 0.7283 0.1250 0.1033
Ca4 Ca 0.8750 0.9783 0.6033
Al1 Al 0.2500 0.7500 0.5000
Al2 Al 0.5000 0.5000 0.0000
N1 N 0.0000 0.0000 0.0000
N2 N 0.7500 0.2500 0.5000
```

Output
As for the formation energy without anion corrections: -0.15 eV/atom. The value obtained for the volume is 193 Å³/cell. For the electronic total energy, the calculation gives -33.33 eV/cell.